Compound: CoIF3
Source: the Alexandria database
Functional: PBE with a Hubbard U
Structure: relaxed

**E**: -0.098 Ha/atom
**Distance to the lowest polymorph of the same formula**: 0.778 eV/atom

Geometry as POSCAR:
```
CoIF3
1.0
-1.134 3.920 2.425
-3.373 -2.408 2.315
3.142 -1.170 3.360
Co F I
1 3 1
Cartesian
-0.682 0.171 4.050
1.571 -0.585 1.680
-1.686 -1.204 1.158
-0.567 1.960 1.212
0.000 0.000 0.000
```